A relaxed MnFe2Rh crystal. Source: Alexandria via LeMat-Bulk, functional GGA-PBEsol.

The structure in CIF format:
```
data_MnFe2Rh
_cell_length_a 2.5408
_cell_length_b 3.5590
_cell_length_c 5.0818
_cell_angle_alpha 90.00
_cell_angle_beta 90.00
_cell_angle_gamma 90.00
_symmetry_space_group_name_H-M 'P m m m'
_symmetry_Int_Tables_number 47
_symmetry_space_group_name_Hall '-P 2 2'
loop_
_atom_site_label
_atom_site_fract_x
_atom_site_fract_y
_atom_site_fract_z
_atom_site_occupancy
Mn1 0.0000 0.0000 0.0000 1
Fe1 0.5000 0.5000 0.2370 1
Rh1 0.0000 0.0000 0.5000 1
```

Results
* ΔE_f: 0.2 eV/f.u.
* magnetization: 1.94 μB/f.u.
* crystal system: orthorhombic
* DOS at the Fermi energy: 4.63 states/eV per cell



A relaxed In crystal. Source: Alexandria via LeMat-Bulk, functional GGA-PBEsol.

The structure in CIF format:
```
data_In
_cell_length_a 5.9173
_cell_length_b 5.9173
_cell_length_c 5.9173
_cell_angle_alpha 90.00
_cell_angle_beta 90.00
_cell_angle_gamma 90.00
_symmetry_space_group_name_H-M 'P a -3'
_symmetry_Int_Tables_number 205
_symmetry_space_group_name_Hall '-P 2ac 2ab 3'
loop_
_atom_site_label
_atom_site_fract_x
_atom_site_fract_y
_atom_site_fract_z
_atom_site_occupancy
In1 0.1557 0.1557 0.1557 1
```

Results
* ΔE_f: 0.0 eV/f.u.
* magnetization: 0.00 μB/f.u.
* crystal system: cubic
* distance to the lowest polymorph of the same formula: 34.0 meV/atom
* DOS at the Fermi energy: 3.63 states/eV per cell



A relaxed TaZn2Ir crystal. Source: Alexandria via LeMat-Bulk, functional GGA-PBEsol.

The structure in CIF format:
```
data_TaZn2Ir
_cell_length_a 4.1643
_cell_length_b 4.1643
_cell_length_c 6.7279
_cell_angle_alpha 90.00
_cell_angle_beta 90.00
_cell_angle_gamma 90.00
_symmetry_space_group_name_H-M 'I -4 m 2'
_symmetry_Int_Tables_number 119
_symmetry_space_group_name_Hall 'I -4 -2'
loop_
_atom_site_label
_atom_site_fract_x
_atom_site_fract_y
_atom_site_fract_z
_atom_site_occupancy
Ta1 0.0000 0.0000 0.0000 1
Zn1 0.0000 0.0000 0.5000 1
Zn2 0.0000 0.5000 0.2500 1
Ir1 0.0000 0.5000 0.7500 1
```

Results
* ΔE_f: -1.1 eV/f.u.
* magnetization: 0.00 μB/f.u.
* crystal system: tetragonal
* DOS at the Fermi energy: 0.32 states/eV per cell



A relaxed ZnTc2Hg crystal. Source: Alexandria via LeMat-Bulk, functional GGA-PBEsol.

The structure in CIF format:
```
data_ZnTc2Hg
_cell_length_a 3.1770
_cell_length_b 4.5037
_cell_length_c 8.5084
_cell_angle_alpha 90.00
_cell_angle_beta 90.00
_cell_angle_gamma 90.00
_symmetry_space_group_name_H-M 'I m m 2'
_symmetry_Int_Tables_number 44
_symmetry_space_group_name_Hall 'I 2 -2'
loop_
_atom_site_label
_atom_site_fract_x
_atom_site_fract_y
_atom_site_fract_z
_atom_site_occupancy
Zn1 0.0000 0.0000 0.0000 1
Tc1 0.0000 0.0000 0.5217 1
Tc2 0.0000 0.5000 0.2522 1
Hg1 0.0000 0.5000 0.7498 1
```

Results
* ΔE_f: 1.6 eV/f.u.
* magnetization: 0.00 μB/f.u.
* crystal system: orthorhombic
* distance to the lowest polymorph of the same formula: 302.8 meV/atom
* DOS at the Fermi energy: 6.59 states/eV per cell